No. 1
VASP calculation (SCAN) on Ba2CSe at its PBEsol-relaxed geometry.

Energy relative to the elements, uncorrected, eV per atom: -0.3264
Symmetry: I-42d, No. 122
Density, g/cm3: 4.7

a = 6.971 Å, b = 6.971 Å, c = 6.971 Å
α = 104.60°, β = 111.96°, γ = 111.96°
Site moments in Bohr magnetons follow the coordinates.
Atoms (fractional coordinates):
1 C 0.000 0.500 0.500  0.87
2 C 0.500 0.250 0.750  0.87
3 Ba 0.959 0.584 0.125  0.06
4 Ba 0.041 0.166 0.625  0.06
5 Ba 0.541 0.375 0.416  0.06
6 Ba 0.459 0.875 0.834  0.06
7 Se 0.000 0.000 0.000  0.05
8 Se 0.500 0.750 0.250  0.05



No. 2
VASP calculation (SCAN) on Ba2SiC at its PBEsol-relaxed geometry.

Energy relative to the elements, uncorrected, eV per atom: 0.8859
Symmetry: I-42d, No. 122
Density, g/cm3: 4.7

a = 6.716 Å, b = 6.716 Å, c = 6.716 Å
α = 102.66°, β = 102.66°, γ = 124.16°
Site moments in Bohr magnetons follow the coordinates.
Atoms (fractional coordinates):
1 C 0.500 0.500 0.000  0.59
2 C 0.750 0.250 0.500  0.59
3 Si 0.000 0.000 0.000  0.08
4 Si 0.250 0.750 0.500  0.08
5 Ba 0.798 0.875 0.423  0.07
6 Ba 0.452 0.375 0.577  0.07
7 Ba 0.125 0.548 0.923  0.07
8 Ba 0.625 0.202 0.077  0.07



Question: Look up the energy relative to the elements, uncorrected of the second one.
Answer: 0.8859 eV per atom